{
  "formula": "Mn2HgSb",
  "functional": "GGA-PBE",
  "state": "optimized geometry",
  "dos_ef_per_ev_atom": 0.86,
  "relative_energy_ev_per_atom": 0.0681,
  "formation_energy_uncorrected_ev_per_fu": 1.3,
  "space_group": "No. 123",
  "final_energy_ev_per_atom": -5.376,
  "cell": [[4.392, 0.000, 0.000], [0.000, 4.392, 0.000], [0.000, 0.000, 3.880]],
  "species": ["Mn", "Mn", "Hg", "Sb"],
  "frac_coords": [[0.000, 0.500, 0.000], [0.500, 0.000, 0.000], [0.000, 0.000, 0.500], [0.500, 0.500, 0.500]]
}


{
  "formula": "MgReTc2",
  "functional": "GGA-PBE",
  "state": "optimized geometry",
  "dos_ef_per_ev_atom": 1.08,
  "ef_ev_per_fu": 0.7,
  "space_group": "No. 123",
  "final_energy_ev_per_atom": -8.531,
  "cell": [[3.085, 0.000, 0.000], [0.000, 3.085, 0.000], [0.000, 0.000, 6.474]],
  "species": ["Mg", "Re", "Tc", "Tc"],
  "frac_coords": [[0.000, 0.000, 0.000], [0.000, 0.000, 0.500], [0.500, 0.500, 0.268], [0.500, 0.500, 0.732]]
}


{
  "formula": "RbNaZrSc2",
  "functional": "GGA-PBE",
  "state": "optimized geometry",
  "dos_ef_per_ev_atom": 0.73,
  "relative_energy_ev_per_atom": 0.0000,
  "ef_ev_per_fu": 4.6,
  "space_group": "No. 123",
  "final_energy_ev_per_atom": -3.778,
  "cell": [[5.325, 0.000, 0.000], [0.000, 5.325, 0.000], [0.000, 0.000, 6.500]],
  "species": ["Rb", "Na", "Zr", "Sc", "Sc"],
  "frac_coords": [[0.000, 0.000, 0.000], [0.500, 0.500, 0.000], [0.000, 0.000, 0.500], [0.000, 0.500, 0.500], [0.500, 0.000, 0.500]]
}